Entry 1:
PSe2Cl | PBE | optimized geometry

```
PSe2Cl
1.0
-0.579 3.838 2.751
-6.822 -5.664 6.466
9.791 -2.420 5.436
Se Cl P
8 4 4
direct
0.415 0.080 0.393
0.915 0.420 0.107
0.414 0.614 0.748
0.086 0.114 0.248
0.914 0.886 0.752
0.586 0.386 0.252
0.085 0.580 0.893
0.585 0.920 0.607
0.111 0.605 0.362
0.611 0.895 0.138
0.889 0.395 0.638
0.389 0.105 0.862
0.790 0.962 0.298
0.710 0.462 0.798
0.210 0.038 0.702
0.290 0.538 0.202
```

Computed properties:
The energy above the most stable polymorph in this dataset is 0.000 eV per atom. As for the crystal system: monoclinic. The uncorrected formation energy is -199 meV per atom. The space-group type is P2_1/c (14). The calculation puts the density at 2.517 g cm⁻³.


Entry 2:
PSe2Cl | PBE | optimized geometry

```
PSe2Cl
1.0
6.990 0.000 0.000
0.000 6.990 0.000
3.495 3.495 3.900
Se Cl P
4 2 2
direct
0.375 0.445 0.750
0.875 0.805 0.750
0.555 0.125 0.250
0.195 0.625 0.250
0.750 0.250 0.500
0.000 0.000 0.000
0.250 0.750 0.500
0.500 0.500 0.000
```

Computed properties:
The energy above the most stable polymorph in this dataset is 0.328 eV per atom. As for the crystal system: tetragonal. The uncorrected formation energy is 129 meV per atom. The space-group type is I-42d (122). The calculation puts the density at 3.910 g cm⁻³.